# NaPrEuMg | Alexandria | PBE | relaxed
# energy of formation: 103 meV per atom
# calculated volume: 33.76 Å³/atom
# total magnetic moment: 30.8 Bohr magnetons per cell
data_NaPrEuMg
_space_group_name_H-M_alt 'F -4 3 m'
_space_group_IT_number 216
_space_group_name_Hall 'F -4 2 3'
_cell_length_a 8.1442
_cell_length_b 8.1442
_cell_length_c 8.1442
_cell_angle_alpha 90.00
_cell_angle_beta 90.00
_cell_angle_gamma 90.00
loop_
_atom_site_label
_atom_site_type_symbol
_atom_site_fract_x
_atom_site_fract_y
_atom_site_fract_z
_atom_site_occupancy
Na1 Na 0.0000 0.0000 0.0000 1
Pr1 Pr 0.2500 0.2500 0.2500 1
Eu1 Eu 0.2500 0.2500 0.7500 1
Mg1 Mg 0.0000 0.0000 0.5000 1



# NaSmEuMg | Alexandria | PBE | relaxed
# energy of formation: 126 meV per atom
# calculated volume: 32.90 Å³/atom
# total magnetic moment: 30.6 Bohr magnetons per cell
data_NaSmEuMg
_space_group_name_H-M_alt 'F -4 3 m'
_space_group_IT_number 216
_space_group_name_Hall 'F -4 2 3'
_cell_length_a 8.0745
_cell_length_b 8.0745
_cell_length_c 8.0745
_cell_angle_alpha 90.00
_cell_angle_beta 90.00
_cell_angle_gamma 90.00
loop_
_atom_site_label
_atom_site_type_symbol
_atom_site_fract_x
_atom_site_fract_y
_atom_site_fract_z
_atom_site_occupancy
Na1 Na 0.0000 0.0000 0.0000 1
Sm1 Sm 0.2500 0.2500 0.2500 1
Eu1 Eu 0.2500 0.2500 0.7500 1
Mg1 Mg 0.0000 0.0000 0.5000 1



# NaEuMgSn | Alexandria | PBE | relaxed
# energy of formation: -262 meV per atom
# calculated volume: 27.35 Å³/atom
# total magnetic moment: 29.5 Bohr magnetons per cell
data_NaEuMgSn
_space_group_name_H-M_alt 'F -4 3 m'
_space_group_IT_number 216
_space_group_name_Hall 'F -4 2 3'
_cell_length_a 7.5921
_cell_length_b 7.5921
_cell_length_c 7.5921
_cell_angle_alpha 90.00
_cell_angle_beta 90.00
_cell_angle_gamma 90.00
loop_
_atom_site_label
_atom_site_type_symbol
_atom_site_fract_x
_atom_site_fract_y
_atom_site_fract_z
_atom_site_occupancy
Na1 Na 0.0000 0.0000 0.0000 1
Eu1 Eu 0.2500 0.2500 0.2500 1
Mg1 Mg 0.2500 0.2500 0.7500 1
Sn1 Sn 0.0000 0.0000 0.5000 1



# NaTbEuMg | Alexandria | PBE | relaxed
# energy of formation: 145 meV per atom
# calculated volume: 32.19 Å³/atom
# total magnetic moment: 30.6 Bohr magnetons per cell
data_NaTbEuMg
_space_group_name_H-M_alt 'F -4 3 m'
_space_group_IT_number 216
_space_group_name_Hall 'F -4 2 3'
_cell_length_a 8.0162
_cell_length_b 8.0162
_cell_length_c 8.0162
_cell_angle_alpha 90.00
_cell_angle_beta 90.00
_cell_angle_gamma 90.00
loop_
_atom_site_label
_atom_site_type_symbol
_atom_site_fract_x
_atom_site_fract_y
_atom_site_fract_z
_atom_site_occupancy
Na1 Na 0.0000 0.0000 0.0000 1
Tb1 Tb 0.2500 0.2500 0.7500 1
Eu1 Eu 0.2500 0.2500 0.2500 1
Mg1 Mg 0.0000 0.0000 0.5000 1



# NaEuMgTl | Alexandria | PBE | relaxed
# energy of formation: -161 meV per atom
# calculated volume: 27.64 Å³/atom
# total magnetic moment: 28.0 Bohr magnetons per cell
data_NaEuMgTl
_space_group_name_H-M_alt 'F -4 3 m'
_space_group_IT_number 216
_space_group_name_Hall 'F -4 2 3'
_cell_length_a 7.6187
_cell_length_b 7.6187
_cell_length_c 7.6187
_cell_angle_alpha 90.00
_cell_angle_beta 90.00
_cell_angle_gamma 90.00
loop_
_atom_site_label
_atom_site_type_symbol
_atom_site_fract_x
_atom_site_fract_y
_atom_site_fract_z
_atom_site_occupancy
Na1 Na 0.0000 0.0000 0.0000 1
Eu1 Eu 0.2500 0.2500 0.7500 1
Mg1 Mg 0.2500 0.2500 0.2500 1
Tl1 Tl 0.0000 0.0000 0.5000 1



# NaEuMgZn | Alexandria | PBE | relaxed
# energy of formation: -14 meV per atom
# calculated volume: 25.81 Å³/atom
# total magnetic moment: 31.1 Bohr magnetons per cell
data_NaEuMgZn
_space_group_name_H-M_alt 'F -4 3 m'
_space_group_IT_number 216
_space_group_name_Hall 'F -4 2 3'
_cell_length_a 7.4469
_cell_length_b 7.4469
_cell_length_c 7.4469
_cell_angle_alpha 90.00
_cell_angle_beta 90.00
_cell_angle_gamma 90.00
loop_
_atom_site_label
_atom_site_type_symbol
_atom_site_fract_x
_atom_site_fract_y
_atom_site_fract_z
_atom_site_occupancy
Na1 Na 0.0000 0.0000 0.0000 1
Eu1 Eu 0.2500 0.2500 0.2500 1
Mg1 Mg 0.2500 0.2500 0.7500 1
Zn1 Zn 0.0000 0.0000 0.5000 1



# NdEu2Mg | Alexandria | PBE | relaxed
# energy above the lowest structure with this stoichiometry: 0.037 eV/atom
# energy of formation: 53 meV per atom
# calculated volume: 34.83 Å³/atom
# total magnetic moment: 15.5 Bohr magnetons per cell
data_NdEu2Mg
_space_group_name_H-M_alt 'P 4/m m m'
_space_group_IT_number 123
_space_group_name_Hall '-P 4 2'
_cell_length_a 5.1538
_cell_length_b 5.1538
_cell_length_c 5.2459
_cell_angle_alpha 90.00
_cell_angle_beta 90.00
_cell_angle_gamma 90.00
loop_
_atom_site_label
_atom_site_type_symbol
_atom_site_fract_x
_atom_site_fract_y
_atom_site_fract_z
_atom_site_occupancy
Nd1 Nd 0.0000 0.0000 0.0000 1
Eu1 Eu 0.0000 0.5000 0.5000 1
Mg1 Mg 0.5000 0.5000 0.0000 1



# Nd2EuMg | Alexandria | PBE | relaxed
# energy above the lowest structure with this stoichiometry: 0.000 eV/atom
# energy of formation: -11 meV per atom
# calculated volume: 33.83 Å³/atom
# total magnetic moment: 7.6 Bohr magnetons per cell
data_Nd2EuMg
_space_group_name_H-M_alt 'P 4/m m m'
_space_group_IT_number 123
_space_group_name_Hall '-P 4 2'
_cell_length_a 3.8755
_cell_length_b 3.8755
_cell_length_c 9.0095
_cell_angle_alpha 90.00
_cell_angle_beta 90.00
_cell_angle_gamma 90.00
loop_
_atom_site_label
_atom_site_type_symbol
_atom_site_fract_x
_atom_site_fract_y
_atom_site_fract_z
_atom_site_occupancy
Nd1 Nd 0.0000 0.0000 0.2106 1
Eu1 Eu 0.5000 0.5000 0.5000 1
Mg1 Mg 0.5000 0.5000 0.0000 1



# Nd2EuMg | Alexandria | PBE | relaxed
# energy above the lowest structure with this stoichiometry: 0.070 eV/atom
# energy of formation: 59 meV per atom
# calculated volume: 34.00 Å³/atom
# total magnetic moment: 23.1 Bohr magnetons per cell
data_Nd2EuMg
_space_group_name_H-M_alt 'R -3 m'
_space_group_IT_number 166
_space_group_name_Hall '-R 3 2"'
_cell_length_a 3.6667
_cell_length_b 3.6667
_cell_length_c 35.0400
_cell_angle_alpha 90.00
_cell_angle_beta 90.00
_cell_angle_gamma 120.00
loop_
_atom_site_label
_atom_site_type_symbol
_atom_site_fract_x
_atom_site_fract_y
_atom_site_fract_z
_atom_site_occupancy
Nd1 Nd 0.0000 0.0000 0.2434 1
Eu1 Eu 0.0000 0.0000 0.0000 1
Mg1 Mg 0.0000 0.0000 0.5000 1



# NdEu2Mg | Alexandria | PBE | relaxed
# energy above the lowest structure with this stoichiometry: 0.000 eV/atom
# energy of formation: 16 meV per atom
# calculated volume: 35.14 Å³/atom
# total magnetic moment: 14.7 Bohr magnetons per cell
data_NdEu2Mg
_space_group_name_H-M_alt 'P 4/m m m'
_space_group_IT_number 123
_space_group_name_Hall '-P 4 2'
_cell_length_a 3.7310
_cell_length_b 3.7310
_cell_length_c 10.0972
_cell_angle_alpha 90.00
_cell_angle_beta 90.00
_cell_angle_gamma 90.00
loop_
_atom_site_label
_atom_site_type_symbol
_atom_site_fract_x
_atom_site_fract_y
_atom_site_fract_z
_atom_site_occupancy
Nd1 Nd 0.0000 0.0000 0.0000 1
Eu1 Eu 0.5000 0.5000 0.2721 1
Mg1 Mg 0.0000 0.0000 0.5000 1



# Nd2EuMg | Alexandria | PBE | relaxed
# energy above the lowest structure with this stoichiometry: 0.050 eV/atom
# energy of formation: 40 meV per atom
# calculated volume: 33.03 Å³/atom
# total magnetic moment: 28.6 Bohr magnetons per cell
data_Nd2EuMg
_space_group_name_H-M_alt 'F m -3 m'
_space_group_IT_number 225
_space_group_name_Hall '-F 4 2 3'
_cell_length_a 8.0846
_cell_length_b 8.0846
_cell_length_c 8.0846
_cell_angle_alpha 90.00
_cell_angle_beta 90.00
_cell_angle_gamma 90.00
loop_
_atom_site_label
_atom_site_type_symbol
_atom_site_fract_x
_atom_site_fract_y
_atom_site_fract_z
_atom_site_occupancy
Nd1 Nd 0.2500 0.2500 0.2500 1
Eu1 Eu 0.0000 0.0000 0.0000 1
Mg1 Mg 0.0000 0.0000 0.5000 1



# NdEu2Mg | Alexandria | PBE | relaxed
# energy above the lowest structure with this stoichiometry: 0.077 eV/atom
# energy of formation: 93 meV per atom
# calculated volume: 34.78 Å³/atom
# total magnetic moment: 59.2 Bohr magnetons per cell
data_NdEu2Mg
_space_group_name_H-M_alt 'F m -3 m'
_space_group_IT_number 225
_space_group_name_Hall '-F 4 2 3'
_cell_length_a 8.2252
_cell_length_b 8.2252
_cell_length_c 8.2252
_cell_angle_alpha 90.00
_cell_angle_beta 90.00
_cell_angle_gamma 90.00
loop_
_atom_site_label
_atom_site_type_symbol
_atom_site_fract_x
_atom_site_fract_y
_atom_site_fract_z
_atom_site_occupancy
Nd1 Nd 0.0000 0.0000 0.0000 1
Eu1 Eu 0.2500 0.2500 0.2500 1
Mg1 Mg 0.0000 0.0000 0.5000 1



# NdEuMg | Alexandria | PBE | relaxed
# energy above the lowest structure with this stoichiometry: 0.000 eV/atom
# energy of formation: -27 meV per atom
# calculated volume: 33.32 Å³/atom
# total magnetic moment: 14.7 Bohr magnetons per cell
data_NdEuMg
_space_group_name_H-M_alt 'I 4 m m'
_space_group_IT_number 107
_space_group_name_Hall 'I 4 -2'
_cell_length_a 3.8720
_cell_length_b 3.8720
_cell_length_c 13.3332
_cell_angle_alpha 90.00
_cell_angle_beta 90.00
_cell_angle_gamma 90.00
loop_
_atom_site_label
_atom_site_type_symbol
_atom_site_fract_x
_atom_site_fract_y
_atom_site_fract_z
_atom_site_occupancy
Nd1 Nd 0.0000 0.0000 0.0000 1
Eu1 Eu 0.0000 0.0000 0.6990 1
Mg1 Mg 0.0000 0.0000 0.3568 1



# Nd2EuMg | Alexandria | PBE | relaxed
# energy above the lowest structure with this stoichiometry: 0.049 eV/atom
# energy of formation: 39 meV per atom
# calculated volume: 33.00 Å³/atom
# total magnetic moment: 7.2 Bohr magnetons per cell
data_Nd2EuMg
_space_group_name_H-M_alt 'P 4/m m m'
_space_group_IT_number 123
_space_group_name_Hall '-P 4 2'
_cell_length_a 5.6342
_cell_length_b 5.6342
_cell_length_c 4.1579
_cell_angle_alpha 90.00
_cell_angle_beta 90.00
_cell_angle_gamma 90.00
loop_
_atom_site_label
_atom_site_type_symbol
_atom_site_fract_x
_atom_site_fract_y
_atom_site_fract_z
_atom_site_occupancy
Nd1 Nd 0.0000 0.5000 0.0000 1
Eu1 Eu 0.0000 0.0000 0.5000 1
Mg1 Mg 0.5000 0.5000 0.5000 1



# NdEuMg | Alexandria | PBE | relaxed
# energy above the lowest structure with this stoichiometry: 0.076 eV/atom
# energy of formation: 49 meV per atom
# calculated volume: 32.44 Å³/atom
# total magnetic moment: 7.3 Bohr magnetons per cell
data_NdEuMg
_space_group_name_H-M_alt 'P 3 m 1'
_space_group_IT_number 156
_cell_length_a 5.6739
_cell_length_b 5.6739
_cell_length_c 3.4908
_cell_angle_alpha 90.00
_cell_angle_beta 90.00
_cell_angle_gamma 120.00
loop_
_space_group_symop_operation_xyz
'x,y,z'
'-y,x-y,z'
'-x+y,-x,z'
'-y,-x,z'
'-x+y,y,z'
'x,x-y,z'
loop_
_atom_site_label
_atom_site_type_symbol
_atom_site_fract_x
_atom_site_fract_y
_atom_site_fract_z
_atom_site_occupancy
Nd1 Nd 0.0000 0.0000 0.0000 1
Eu1 Eu 0.6667 0.3333 0.3948 1
Mg1 Mg 0.3333 0.6667 0.6700 1